First-principles (PBE-GGA) data for a geometry-optimized Mg5Si9 structure, as listed in Alexandria via LeMat-Bulk.

Values from the calculation:
- relative energy among the computed polymorphs (kJ per mole of atoms) = 4.9
- uncorrected formation energy (eV/f.u.) = 2.08
- SG = P1, No. 1

a = 7.3580 Å, b = 7.5849 Å, c = 10.0094 Å
α = 93.90°, β = 100.61°, γ = 110.72°
Fractional coordinates of all 28 atoms:
Si  0.7333  0.7852  0.2820
Si  0.4629  0.0913  0.2600
Si  0.5150  0.6339  0.8477
Si  0.2860  0.7414  0.1914
Si  0.7972  0.3759  0.6083
Si  0.3039  0.8166  0.8291
Si  0.4868  0.5830  0.0793
Si  0.2080  0.2613  0.7117
Si  0.9782  0.5772  0.8203
Si  0.8567  0.8356  0.8597
Si  0.0841  0.3693  0.2561
Si  0.1075  0.0555  0.2329
Si  0.4349  0.5917  0.3718
Si  0.4904  0.2593  0.0588
Si  0.8554  0.0861  0.7165
Si  0.0729  0.7977  0.3741
Si  0.2345  0.9628  0.6262
Si  0.1863  0.9599  0.0147
Mg  0.5936  0.2320  0.8096
Mg  0.0969  0.3069  0.9706
Mg  0.4044  0.2851  0.4950
Mg  0.5246  0.9432  0.5047
Mg  0.7017  0.0001  0.0637
Mg  0.1905  0.5643  0.5683
Mg  0.8820  0.5778  0.0740
Mg  0.7643  0.4345  0.3395
Mg  0.8116  0.7364  0.5813
Mg  0.9361  0.1360  0.4522

---

First-principles (PBE-GGA) data for a geometry-optimized MgSi2 structure, as listed in Alexandria via LeMat-Bulk.

Values from the calculation:
- relative energy among the computed polymorphs (kJ per mole of atoms) = 14.0
- uncorrected formation energy (eV/f.u.) = 0.51
- SG = Pbam, No. 55

a = 2.7817 Å, b = 7.7988 Å, c = 9.0357 Å
α = 89.99°, β = 90.00°, γ = 90.00°
Fractional coordinates of all 12 atoms:
Mg  0.5000  0.3950  0.8531
Mg  0.5000  0.8952  0.6470
Mg  0.5000  0.1048  0.3530
Mg  0.5000  0.6050  0.1469
Si  0.0000  0.7742  0.3874
Si  0.0000  0.4296  0.3786
Si  0.0000  0.2258  0.6126
Si  0.0000  0.5704  0.6214
Si  0.0000  0.9296  0.1213
Si  0.0000  0.2745  0.1129
Si  0.0000  0.0704  0.8787
Si  0.0000  0.7255  0.8871

---

First-principles (PBE-GGA) data for a geometry-optimized Mg5Si9 structure, as listed in Alexandria via LeMat-Bulk.

Values from the calculation:
- relative energy among the computed polymorphs (kJ per mole of atoms) = 4.6
- uncorrected formation energy (eV/f.u.) = 2.03
- SG = P1, No. 1

a = 5.5592 Å, b = 7.3635 Å, c = 13.9015 Å
α = 92.85°, β = 104.17°, γ = 110.68°
Fractional coordinates of all 28 atoms:
Si  0.4668  0.0887  0.7758
Si  0.0047  0.8310  0.9786
Si  0.1832  0.1272  0.6143
Si  0.1274  0.8310  0.8230
Si  0.0878  0.3893  0.6840
Si  0.9296  0.3188  0.1289
Si  0.0815  0.5239  0.0044
Si  0.6717  0.4080  0.8704
Si  0.2493  0.1075  0.3155
Si  0.7104  0.8552  0.5586
Si  0.7240  0.8972  0.7418
Si  0.8298  0.8504  0.2023
Si  0.6551  0.5667  0.2836
Si  0.1732  0.1650  0.0556
Si  0.2074  0.4425  0.2969
Si  0.5557  0.2427  0.1986
Si  0.7385  0.5686  0.4671
Si  0.4432  0.6368  0.8217
Mg  0.2007  0.7523  0.6214
Mg  0.1814  0.4078  0.4883
Mg  0.5805  0.9424  0.0044
Mg  0.1062  0.2413  0.8617
Mg  0.2855  0.7885  0.1809
Mg  0.1947  0.7718  0.4005
Mg  0.5881  0.1916  0.5237
Mg  0.5928  0.5227  0.0474
Mg  0.7583  0.0225  0.3664
Mg  0.6725  0.5087  0.6840

---

First-principles (PBE-GGA) data for a geometry-optimized Mg6Si5 structure, as listed in Alexandria via LeMat-Bulk.

Values from the calculation:
- relative energy among the computed polymorphs (kJ per mole of atoms) = 5.3
- uncorrected formation energy (eV/f.u.) = 0.57
- SG = P1, No. 1

a = 5.4154 Å, b = 6.1808 Å, c = 13.4635 Å
α = 101.63°, β = 94.15°, γ = 98.59°
Fractional coordinates of all 22 atoms:
Mg  0.8124  0.0000  0.9506
Mg  0.4052  0.7915  0.4855
Mg  0.5283  0.8720  0.2570
Mg  0.6195  0.9033  0.7223
Mg  0.7902  0.4684  0.8423
Mg  0.2855  0.7359  0.9957
Mg  0.8329  0.5296  0.0811
Mg  0.4679  0.3287  0.6092
Mg  0.8921  0.2489  0.4675
Mg  0.6768  0.4186  0.2954
Mg  0.0405  0.0720  0.1771
Mg  0.3483  0.2374  0.9230
Si  0.8681  0.7047  0.4966
Si  0.1092  0.8507  0.8056
Si  0.3364  0.4535  0.1303
Si  0.1865  0.4888  0.3078
Si  0.1300  0.9389  0.6427
Si  0.9576  0.2729  0.6680
Si  0.5444  0.1203  0.1074
Si  0.0151  0.8551  0.3446
Si  0.2954  0.5212  0.7869
Si  0.3505  0.1875  0.4000